# 1
Mg2FeHOs | PBE | relaxed

## Properties
space group	P4/mmm, No. 123
crystal system	tetragonal
magnetization	2.83	μB/f.u.
energy	-22.72	eV/cell

Cell and atoms, written as POSCAR:
```
Mg2FeHOs
1.0
4.9854 0.0000 0.0000
0.0000 2.8958 0.0000
0.0000 0.0000 4.9854
H Mg Os Fe
1 2 1 1
direct
0.0000 0.5000 0.0000
0.0000 0.0000 0.5000
0.5000 0.0000 0.0000
0.5000 0.5000 0.5000
0.0000 0.0000 0.0000
```

# 2
MgFeHPd2 | PBE | relaxed

## Properties
space group	P4/mmm, No. 123
crystal system	tetragonal
magnetization	2.86	μB/f.u.
energy	-24.87	eV/cell

Cell and atoms, written as POSCAR:
```
MgFeHPd2
1.0
4.0952 0.0000 0.0000
0.0000 4.0952 0.0000
0.0000 0.0000 3.7069
H Mg Fe Pd
1 1 1 2
direct
0.0000 0.0000 0.0000
0.5000 0.5000 0.5000
0.0000 0.0000 0.5000
0.0000 0.5000 0.0000
0.5000 0.0000 0.0000
```

# 3
MgFe2HPd | PBE | relaxed

## Properties
space group	P4/mmm, No. 123
crystal system	tetragonal
magnetization	4.85	μB/f.u.
energy	-27.46	eV/cell

Cell and atoms, written as POSCAR:
```
MgFe2HPd
1.0
-1.5912 -0.6263 3.2687
2.0918 -3.0062 0.4424
2.9868 2.3589 1.9060
H Mg Fe Pd
1 1 2 1
direct
0.0000 0.0000 0.0000
0.5000 0.5000 0.5000
0.0000 0.5000 0.0000
0.5000 0.0000 0.0000
0.0000 0.0000 0.5000
```

# 4
MgFe2HRh | PBE | relaxed

## Properties
space group	P4/mmm, No. 123
crystal system	tetragonal
magnetization	5.75	μB/f.u.
energy	-29.52	eV/cell

Cell and atoms, written as POSCAR:
```
MgFe2HRh
1.0
3.7828 0.0000 0.0000
0.0000 3.7828 0.0000
0.0000 0.0000 4.0034
H Mg Rh Fe
1 1 1 2
direct
0.0000 0.0000 0.0000
0.5000 0.5000 0.5000
0.0000 0.0000 0.5000
0.0000 0.5000 0.0000
0.5000 0.0000 0.0000
```

Q: energy of number 3 (MgFe2HPd)?
A: -27.46 eV/cell

Q: Which value of energy does entry 4 give?
A: -29.52 eV/cell